LaPt3N: relaxed, PBE.

E above lowest polymorph = 2.191 eV per atom
volume = 153.1 Å³/cell
formation energy without anion corrections = 2.014 eV/atom
VASP energy = -4.261 eV per atom

a = 5.349 Å, b = 5.349 Å, c = 5.349 Å
α = 90.00°, β = 90.00°, γ = 90.00°
Fractional coordinates of all 5 atoms:
Pt  0.500  0.000  0.000
Pt  0.000  0.500  0.000
Pt  0.000  0.000  0.500
La  0.000  0.000  0.000
N  0.500  0.500  0.500

---

La6Pt2N: relaxed, PBE.

volume = 515.0 Å³/cell
formation energy without anion corrections = -0.875 eV/atom
VASP energy = -6.428 eV per atom

a = 6.719 Å, b = 7.438 Å, c = 10.308 Å
α = 90.00°, β = 91.19°, γ = 90.00°
Fractional coordinates of all 18 atoms:
La  0.829  0.694  0.441
La  0.817  0.665  0.063
La  0.870  0.965  0.734
La  0.317  0.835  0.563
La  0.370  0.535  0.234
La  0.683  0.165  0.437
La  0.329  0.806  0.941
La  0.130  0.035  0.266
La  0.171  0.306  0.559
La  0.183  0.335  0.937
La  0.671  0.194  0.059
La  0.630  0.465  0.766
Pt  0.441  0.107  0.761
Pt  0.559  0.893  0.239
Pt  0.941  0.393  0.261
Pt  0.059  0.607  0.739
N  0.000  0.000  0.500
N  0.500  0.500  0.000

---

LaPtN: relaxed, PBE.

volume = 121.9 Å³/cell
formation energy without anion corrections = -0.673 eV/atom
VASP energy = -7.104 eV per atom

a = 3.768 Å, b = 3.768 Å, c = 8.991 Å
α = 102.10°, β = 102.10°, γ = 90.00°
Fractional coordinates of all 6 atoms:
N  0.192  0.192  0.384
N  0.808  0.808  0.616
Pt  0.928  0.928  0.855
Pt  0.072  0.072  0.145
La  0.668  0.668  0.337
La  0.332  0.332  0.663

---

La3Pt2N: relaxed, PBE.

volume = 298.3 Å³/cell
formation energy without anion corrections = -1.105 eV/atom
VASP energy = -6.970 eV per atom

a = 5.974 Å, b = 7.941 Å, c = 7.350 Å
α = 108.70°, β = 113.98°, γ = 90.00°
Fractional coordinates of all 12 atoms:
Pt  0.690  0.106  0.346
Pt  0.310  0.894  0.654
Pt  0.344  0.394  0.654
Pt  0.656  0.606  0.346
La  0.128  0.528  0.289
La  0.546  0.750  0.000
La  0.454  0.250  0.000
La  0.872  0.472  0.711
La  0.839  0.972  0.711
La  0.161  0.028  0.289
N  0.055  0.250  0.000
N  0.945  0.750  0.000

---

LaPt3N: relaxed, PBE.

E above lowest polymorph = 0.000 eV per atom
volume = 85.8 Å³/cell
formation energy without anion corrections = -0.177 eV/atom
VASP energy = -6.452 eV per atom

a = 4.411 Å, b = 4.411 Å, c = 4.411 Å
α = 90.00°, β = 90.00°, γ = 90.00°
Fractional coordinates of all 5 atoms:
Pt  0.500  0.000  0.000
Pt  0.000  0.000  0.500
Pt  0.000  0.500  0.000
La  0.500  0.500  0.500
N  0.000  0.000  0.000

---

LaPu2PtN4: relaxed, PBE.

volume = 252.1 Å³/cell
formation energy without anion corrections = -0.927 eV/atom
VASP energy = -10.043 eV per atom

a = 3.645 Å, b = 6.113 Å, c = 11.855 Å
α = 90.00°, β = 90.00°, γ = 107.35°
Fractional coordinates of all 16 atoms:
Pt  0.781  0.561  0.750
Pt  0.219  0.439  0.250
N  0.560  0.120  0.250
N  0.000  0.000  0.000
N  0.252  0.505  0.085
N  0.252  0.505  0.415
N  0.748  0.495  0.585
N  0.000  0.000  0.500
N  0.748  0.495  0.915
N  0.440  0.880  0.750
Pu  0.632  0.265  0.060
Pu  0.632  0.265  0.440
Pu  0.368  0.735  0.940
Pu  0.368  0.735  0.560
La  0.072  0.143  0.750
La  0.928  0.857  0.250

---

RbLa2PtN: relaxed, PBE.

volume = 154.9 Å³/cell
formation energy without anion corrections = 1.927 eV/atom
VASP energy = -3.111 eV per atom

a = 5.620 Å, b = 4.904 Å, c = 5.620 Å
α = 90.00°, β = 90.00°, γ = 90.00°
Fractional coordinates of all 5 atoms:
Pt  0.000  0.500  0.000
N  0.500  0.500  0.500
La  0.500  0.000  0.000
La  0.000  0.000  0.500
Rb  0.000  0.000  0.000

---

LaPt2RhN: relaxed, PBE.

volume = 114.6 Å³/cell
formation energy without anion corrections = 1.462 eV/atom
VASP energy = -5.075 eV per atom

a = 5.290 Å, b = 4.096 Å, c = 5.290 Å
α = 90.00°, β = 90.00°, γ = 90.00°
Fractional coordinates of all 5 atoms:
La  0.000  0.000  0.000
Pt  0.000  0.000  0.500
Pt  0.500  0.000  0.000
Rh  0.500  0.500  0.500
N  0.000  0.500  0.000

---

LaPtS2N: relaxed, PBE.

E above lowest polymorph = 1.484 eV per atom
volume = 130.6 Å³/cell
formation energy without anion corrections = 0.924 eV/atom
VASP energy = -4.586 eV per atom

a = 5.550 Å, b = 5.550 Å, c = 4.240 Å
α = 90.00°, β = 90.00°, γ = 90.00°
Fractional coordinates of all 5 atoms:
S  0.500  0.000  0.000
S  0.000  0.500  0.000
Pt  0.500  0.500  0.500
N  0.000  0.000  0.500
La  0.000  0.000  0.000

---

LaPtS2N: relaxed, PBE.

E above lowest polymorph = 0.000 eV per atom
volume = 94.5 Å³/cell
formation energy without anion corrections = -0.561 eV/atom
VASP energy = -6.070 eV per atom

a = 4.980 Å, b = 4.980 Å, c = 3.812 Å
α = 90.00°, β = 90.00°, γ = 90.00°
Fractional coordinates of all 5 atoms:
N  0.000  0.000  0.500
S  0.500  0.000  0.000
S  0.000  0.500  0.000
Pt  0.000  0.000  0.000
La  0.500  0.500  0.500

---

La4Sb2PtN2: relaxed, PBE.

volume = 258.3 Å³/cell
formation energy without anion corrections = -1.155 eV/atom
VASP energy = -6.782 eV per atom

a = 4.324 Å, b = 8.395 Å, c = 8.156 Å
α = 114.22°, β = 105.37°, γ = 90.00°
Fractional coordinates of all 9 atoms:
La  0.220  0.143  0.441
La  0.525  0.780  0.049
La  0.780  0.857  0.559
La  0.475  0.220  0.951
Sb  0.899  0.450  0.798
Sb  0.101  0.550  0.202
Pt  0.000  0.000  0.000
N  0.324  0.010  0.648
N  0.676  0.990  0.352

---

LaSc2PtN: relaxed, PBE.

volume = 97.1 Å³/cell
formation energy without anion corrections = -1.132 eV/atom
VASP energy = -7.523 eV per atom

a = 4.349 Å, b = 4.349 Å, c = 5.134 Å
α = 90.00°, β = 90.00°, γ = 90.00°
Fractional coordinates of all 5 atoms:
Sc  0.000  0.500  0.000
Sc  0.500  0.000  0.000
N  0.000  0.000  0.000
La  0.000  0.000  0.500
Pt  0.500  0.500  0.500

---

> Which of these has the lowest volume?

number 5